Material: TlCdC2
Method: DFT, PBE-GGA
State: optimized geometry

Cell lengths 5.324, 5.324, 6.376 Å; angles 65.32, 65.32, 90.00 degrees
Positions (direct):
Tl 0.000 0.000 0.000
Tl 0.750 0.250 0.500
C 0.618 0.125 0.250
C 0.132 0.625 0.250
C 0.375 0.382 0.750
C 0.875 0.868 0.750
Cd 0.500 0.500 0.000
Cd 0.250 0.750 0.500

Values from the calculation:
- DOS at the Fermi energy (states/eV/cell) = 7.20
- offset from the most stable computed form (eV per formula unit) = 0.00
- E (eV per atom) = -3.389
- calculated volume (Å³/cell) = 145.8
- energy of formation (eV/atom) = 2.0433
- symmetry = I-42d, No. 122